VASP calculation (PBE) on a relaxed structure of CePmHf.

Cell lengths 3.3095, 3.3095, 7.9784 Å; angles 101.97, 101.97, 90.00 degrees
Positions (direct):
Ce1 0.3225 0.3225 0.6451
Pm1 0.0081 0.0081 0.0162
Hf1 0.6693 0.6693 0.3387

Total magnetic moment in μB per formula unit: 0.458
Electronic total energy in eV/atom: -6.715
N(E_F) in states/eV per cell: 5.714
Calculated formation energy in eV/atom: 0.164
Space group: I4mm